{"formula": "PuScTi2", "functional": "GGA-PBE", "state": "optimized geometry", "e_tot_ev_per_atom": -8.956, "magnetic_moment_mub_per_fu": 4.88, "density_g_cm3": 7.916, "ef_ev_per_atom": 0.16, "cell": [[3.519, 0.000, 0.000], [0.000, 3.519, 0.000], [0.000, 0.000, 6.516]], "species": ["Pu", "Sc", "Ti", "Ti"], "fractional_positions": [[0.000, 0.000, 0.000], [0.000, 0.000, 0.500], [0.500, 0.500, 0.220], [0.500, 0.500, 0.780]]}